! CdBi2Ir | the Alexandria database | PBE | optimized geometry; values from VASP
&SYSTEM
  ibrav = 0, nat = 8, ntyp = 3
/
ATOMIC_SPECIES
Cd 112.41 Cd.upf
Bi 208.98 Bi.upf
Ir 192.22 Ir.upf
CELL_PARAMETERS angstrom
-4.5983 4.5983 2.6807
4.5983 -4.5983 2.6807
4.5983 4.5983 -2.6807
ATOMIC_POSITIONS crystal
Cd 0.0000 0.0000 0.0000
Cd 0.7500 0.2500 0.5000
Bi 0.2335 0.6250 0.1085
Bi 0.3750 0.4835 0.6085
Bi 0.5165 0.1250 0.8915
Bi 0.8750 0.7665 0.3915
Ir 0.2500 0.7500 0.5000
Ir 0.5000 0.5000 0.0000
! **ΔE_f**: 123 meV/atom
! **Space-group type**: No. 122
! **Crystal system**: tetragonal
! **Size of the total moment**: 0.00 μB/f.u.
! **E_tot**: -4.261 eV per atom